Below is crystalline KBe3Pt at its relaxed geometry, with properties calculated at the GGA-PBE level.

Results
energy relative to the elements	1208.7	kJ/mol of formula units
V	80.13	Å³/cell
E	-1.16	eV/atom
total moment	0.0	Bohr magnetons per cell
D(E_F)	5.461	states/eV/f.u.
excess energy over the best structure of this formula in the dataset	2456	meV/atom
theoretical density	5.413	g/cm³

CIF file:
```
data_KBe3Pt
_chemical_formula_sum 'K1 Be3 Pt1'
_cell_length_a 4.311
_cell_length_b 4.311
_cell_length_c 4.311
_cell_angle_alpha 90.00
_cell_angle_beta 90.00
_cell_angle_gamma 90.00
_space_group_name_H-M_alt 'P m -3 m'
_space_group_IT_number 221
_space_group_name_Hall '-P 4 2 3'
loop_
_atom_site_label
_atom_site_fract_x
_atom_site_fract_y
_atom_site_fract_z
K1 0.000 0.000 0.000
Be1 0.000 0.000 0.500
Pt1 0.500 0.500 0.500
```